DFT (PBE with a Hubbard U) results for a relaxed NbZnCrF2 crystal.

Output
VASP energy = -5.159 eV per atom
Density = 4.3 g/cm3
Spin magnetization = 6.96 μB per formula unit

Geometry as POSCAR:
```
NbZnCrF2
1.0
-3.759 0.037 -1.049
1.673 -1.043 -6.031
-0.208 -3.849 0.608
Nb F Cr Zn
1 2 1 1
direct
0.500 0.500 0.500 Nb
0.000 0.000 0.500 F
0.500 0.000 0.000 F
0.000 0.000 0.000 Cr
0.000 0.500 0.000 Zn
```